# 1
## Zr2V3Co (PBE)

Data for an optimized crystal structure of Zr2V3Co.

Structure (POSCAR):
```
Zr2V3Co
1.0
2.573 1.485 4.183
-2.573 1.485 4.183
0.000 -2.971 4.183
Zr V Co
2 3 1
direct
0.126 0.126 0.126
0.874 0.874 0.874
0.000 0.500 0.500
0.500 0.000 0.500
0.500 0.500 0.000
0.500 0.500 0.500
```

Properties
**Calculated formation energy**: -3.3 kcal/mol of atoms
**D(E_F)**: 6.0 states/eV per cell

# 2
## Zr3V2Co7 (PBE)

Data for an optimized crystal structure of Zr3V2Co7.

Structure (POSCAR):
```
Zr3V2Co7
1.0
2.044 -13.709 0.000
2.044 13.709 0.000
0.000 0.000 3.169
Zr V Co
3 2 7
direct
0.000 0.000 0.000
0.203 0.797 0.000
0.797 0.203 0.000
0.418 0.582 0.500
0.582 0.418 0.500
0.122 0.878 0.500
0.286 0.714 0.500
0.363 0.637 0.000
0.500 0.500 0.500
0.637 0.363 0.000
0.714 0.286 0.500
0.878 0.122 0.500
```

Properties
**Calculated formation energy**: 2.1 kcal/mol of atoms
**D(E_F)**: 8.8 states/eV per cell

# 3
## ZrV3Co (PBE)

Data for an optimized crystal structure of ZrV3Co.

Structure (POSCAR):
```
ZrV3Co
1.0
4.378 0.000 0.000
0.000 4.378 0.000
0.000 0.000 4.378
Zr V Co
1 3 1
direct
0.000 0.000 0.000
0.000 0.500 0.500
0.500 0.000 0.500
0.500 0.500 0.000
0.500 0.500 0.500
```

Properties
**Calculated formation energy**: 12.3 kcal/mol of atoms
**D(E_F)**: 6.2 states/eV per cell
**Distance to the lowest polymorph of the same formula**: 0.0000 eV per atom

# 4
## ZrVCo4 (PBE)

Data for an optimized crystal structure of ZrVCo4.

Structure (POSCAR):
```
ZrVCo4
1.0
1.901 -7.866 0.000
1.901 7.866 0.000
0.000 0.000 5.234
Zr V Co
2 2 8
direct
0.089 0.911 0.750
0.911 0.089 0.250
0.232 0.768 0.250
0.768 0.232 0.750
0.081 0.919 0.250
0.341 0.659 0.531
0.341 0.659 0.969
0.500 0.500 0.000
0.500 0.500 0.500
0.659 0.341 0.031
0.659 0.341 0.469
0.919 0.081 0.750
```

Properties
**Calculated formation energy**: -2.1 kcal/mol of atoms
**D(E_F)**: 10.9 states/eV per cell
**Distance to the lowest polymorph of the same formula**: 0.0581 eV per atom

# 5
## Zr2VCo (PBE)

Data for an optimized crystal structure of Zr2VCo.

Structure (POSCAR):
```
Zr2VCo
1.0
3.227 0.000 0.000
0.000 3.227 0.000
0.000 0.000 6.608
Zr V Co
2 1 1
direct
0.000 0.000 0.240
0.000 0.000 0.760
0.500 0.500 0.500
0.500 0.500 0.000
```

Properties
**Calculated formation energy**: -1.4 kcal/mol of atoms
**D(E_F)**: 5.1 states/eV per cell
**Distance to the lowest polymorph of the same formula**: 0.0000 eV per atom

# 6
## ZrVCo2 (PBE)

Data for an optimized crystal structure of ZrVCo2.

Structure (POSCAR):
```
ZrVCo2
1.0
3.966 0.000 0.000
-1.983 3.435 0.000
0.000 0.000 12.954
Zr V Co
3 3 6
direct
0.000 0.000 0.000
0.333 0.667 0.667
0.667 0.333 0.333
0.000 0.000 0.500
0.333 0.667 0.167
0.667 0.333 0.833
0.000 0.000 0.213
0.000 0.000 0.787
0.333 0.667 0.453
0.333 0.667 0.880
0.667 0.333 0.120
0.667 0.333 0.547
```

Properties
**Calculated formation energy**: -3.4 kcal/mol of atoms
**D(E_F)**: 10.9 states/eV per cell
**Distance to the lowest polymorph of the same formula**: 0.0529 eV per atom

# 7
## ZrVCo (PBE)

Data for an optimized crystal structure of ZrVCo.

Structure (POSCAR):
```
ZrVCo
1.0
8.075 0.000 0.000
0.000 2.552 4.417
0.000 -2.552 4.417
Zr V Co
4 4 4
direct
0.178 0.000 0.000
0.304 0.330 0.330
0.696 0.330 0.330
0.822 0.000 0.000
0.238 0.667 0.667
0.500 0.320 0.827
0.500 0.827 0.320
0.762 0.667 0.667
0.000 0.004 0.496
0.000 0.493 0.493
0.000 0.496 0.004
0.500 0.827 0.827
```

Properties
**Calculated formation energy**: -5.4 kcal/mol of atoms
**D(E_F)**: 12.2 states/eV per cell
**Distance to the lowest polymorph of the same formula**: 0.0074 eV per atom

# 8
## Zr2VCo (PBE)

Data for an optimized crystal structure of Zr2VCo.

Structure (POSCAR):
```
Zr2VCo
1.0
2.999 0.000 0.000
-1.500 2.597 0.000
0.000 0.000 28.278
Zr V Co
6 3 3
direct
0.000 0.000 0.085
0.000 0.000 0.915
0.333 0.667 0.582
0.333 0.667 0.752
0.667 0.333 0.248
0.667 0.333 0.418
0.000 0.000 0.500
0.333 0.667 0.167
0.667 0.333 0.833
0.000 0.000 0.000
0.333 0.667 0.667
0.667 0.333 0.333
```

Properties
**Calculated formation energy**: 12.9 kcal/mol of atoms
**D(E_F)**: 14.8 states/eV per cell
**Distance to the lowest polymorph of the same formula**: 0.6209 eV per atom

# 9
## Co2W3 (PBE)

Data for an optimized crystal structure of Co2W3.

Structure (POSCAR):
```
Co2W3
1.0
2.732 0.000 0.000
-1.366 2.366 0.000
0.000 0.000 33.024
Co W
6 9
direct
0.000 0.000 0.102
0.000 0.000 0.898
0.333 0.667 0.565
0.333 0.667 0.769
0.667 0.333 0.231
0.667 0.333 0.435
0.000 0.000 0.295
0.000 0.000 0.500
0.000 0.000 0.705
0.333 0.667 0.167
0.333 0.667 0.371
0.333 0.667 0.962
0.667 0.333 0.038
0.667 0.333 0.629
0.667 0.333 0.833
```

Properties
**Calculated formation energy**: 7.7 kcal/mol of atoms
**D(E_F)**: 16.2 states/eV per cell
**Distance to the lowest polymorph of the same formula**: 0.1277 eV per atom

# 10
## CoW5 (PBE)

Data for an optimized crystal structure of CoW5.

Structure (POSCAR):
```
CoW5
1.0
0.000 3.675 3.675
3.675 0.000 3.675
3.675 3.675 0.000
Co W
1 5
direct
0.000 0.000 0.000
0.125 0.625 0.625
0.250 0.250 0.250
0.625 0.125 0.625
0.625 0.625 0.125
0.625 0.625 0.625
```

Properties
**Calculated formation energy**: 13.9 kcal/mol of atoms
**D(E_F)**: 9.4 states/eV per cell
**Distance to the lowest polymorph of the same formula**: 0.4490 eV per atom

# 11
## CoW4 (PBE)

Data for an optimized crystal structure of CoW4.

Structure (POSCAR):
```
CoW4
1.0
5.594 0.000 0.000
0.000 5.594 0.000
0.000 0.000 5.594
Co W
2 8
direct
0.000 0.000 0.000
0.500 0.500 0.500
0.250 0.250 0.250
0.250 0.250 0.750
0.250 0.750 0.250
0.250 0.750 0.750
0.750 0.250 0.250
0.750 0.250 0.750
0.750 0.750 0.250
0.750 0.750 0.750
```

Properties
**Calculated formation energy**: 28.8 kcal/mol of atoms
**D(E_F)**: 11.5 states/eV per cell
**Distance to the lowest polymorph of the same formula**: 0.0000 eV per atom

# 12
## CoW4 (PBE)

Data for an optimized crystal structure of CoW4.

Structure (POSCAR):
```
CoW4
1.0
4.420 0.000 0.000
0.000 4.420 0.000
0.000 0.000 4.420
Co W
1 4
direct
0.000 0.000 0.000
0.000 0.000 0.500
0.000 0.500 0.000
0.500 0.000 0.000
0.500 0.500 0.500
```

Properties
**Calculated formation energy**: 33.8 kcal/mol of atoms
**D(E_F)**: 5.2 states/eV per cell
**Distance to the lowest polymorph of the same formula**: 0.2157 eV per atom